Density functional theory data (PBE) for a relaxed MgMnBeOs crystal. Values from VASP.

## Properties
* ΔE_f: 0.071 eV per atom
* DFT total energy: -6.36 eV/atom

The structure in Quantum ESPRESSO input format:
```
&SYSTEM
  ibrav = 0, nat = 4, ntyp = 4
/
ATOMIC_SPECIES
Mg 24.30 Mg.upf
Os 190.23 Os.upf
Be 9.01 Be.upf
Mn 54.94 Mn.upf
CELL_PARAMETERS angstrom
-3.778 -1.212 1.081
-0.732 -1.269 3.842
-2.257 2.320 2.537
ATOMIC_POSITIONS crystal
Mg 0.750 0.750 0.750
Os 0.250 0.250 0.250
Be 0.000 0.000 0.000
Mn 0.500 0.500 0.500
```